1.
Compound: Ba2TaHgS6
Source: OQMD via LeMat-Bulk
Functional: PBE-GGA
Structure: optimized geometry

Output
Relative energy among the computed polymorphs = 0 kJ/mol of formula units
Crystal system = monoclinic

Cell: 6.7885 7.4242 12.1278 Å, 90.00 123.44 90.00°
Space group P2_1/c (No. 14)
Asymmetric unit:
Ba  0.2185  0.0849  0.2510 [4 per cell]
Ta  0.5000  0.0000  0.0000 [2 per cell]
Hg  0.0000  0.0000  0.5000 [2 per cell]
S  0.1658  0.1758  0.9653 [4 per cell]
S  0.2892  0.7110  0.9634 [4 per cell]
S  0.3390  0.0037  0.7634 [4 per cell]

2.
Compound: Ba2HgTeS6
Source: OQMD via LeMat-Bulk
Functional: PBE-GGA
Structure: optimized geometry

Output
E_tot = -3.860 eV per atom
Crystal system = cubic

Cell: 10.2193 10.2193 10.2193 Å, 90.00 90.00 90.00°
Space group Fm-3m (No. 225)
Asymmetric unit:
Ba  0.2500  0.2500  0.2500 [8 per cell]
Hg  0.0000  0.0000  0.0000 [4 per cell]
Te  0.0000  0.0000  0.5000 [4 per cell]
S  0.0000  0.0000  0.2552 [24 per cell]

3.
Compound: Ba2HgWS6
Source: OQMD via LeMat-Bulk
Functional: PBE-GGA
Structure: optimized geometry

Output
E_tot = -5.038 eV per atom
Crystal system = cubic

Cell: 10.0412 10.0412 10.0412 Å, 90.00 90.00 90.00°
Space group Fm-3m (No. 225)
Asymmetric unit:
Ba  0.2500  0.2500  0.2500 [8 per cell]
Hg  0.0000  0.0000  0.0000 [4 per cell]
W  0.0000  0.0000  0.5000 [4 per cell]
S  0.0000  0.0000  0.2628 [24 per cell]

4.
Compound: BaHgSb2
Source: OQMD via LeMat-Bulk
Functional: PBE-GGA
Structure: optimized geometry

Output
E_tot = -2.947 eV per atom
Crystal system = cubic

Cell: 7.9865 7.9865 7.9865 Å, 90.00 90.00 90.00°
Space group F-43m (No. 216)
Asymmetric unit:
Ba  0.0000  0.0000  0.0000 [4 per cell]
Hg  0.2500  0.2500  0.7500 [4 per cell]
Sb  0.0000  0.0000  0.5000 [4 per cell]
Sb  0.2500  0.2500  0.2500 [4 per cell]

5.
Compound: BaHg2Sb
Source: OQMD via LeMat-Bulk
Functional: PBE-GGA
Structure: optimized geometry

Output
E_tot = -2.085 eV per atom
Crystal system = cubic

Cell: 7.9378 7.9378 7.9378 Å, 90.00 90.00 90.00°
Space group F-43m (No. 216)
Asymmetric unit:
Ba  0.0000  0.0000  0.0000 [4 per cell]
Hg  0.0000  0.0000  0.5000 [4 per cell]
Hg  0.2500  0.2500  0.2500 [4 per cell]
Sb  0.2500  0.2500  0.7500 [4 per cell]

6.
Compound: BaHg2Sb
Source: OQMD via LeMat-Bulk
Functional: PBE-GGA
Structure: optimized geometry

Output
E_tot = -2.085 eV per atom
Crystal system = cubic

Cell: 7.9378 7.9378 7.9378 Å, 90.00 90.00 90.00°
Space group F-43m (No. 216)
Asymmetric unit:
Ba  0.0000  0.0000  0.0000 [4 per cell]
Hg  0.0000  0.0000  0.5000 [4 per cell]
Hg  0.2500  0.2500  0.7500 [4 per cell]
Sb  0.2500  0.2500  0.2500 [4 per cell]

7.
Compound: BaSr2Hg2Sb4
Source: OQMD via LeMat-Bulk
Functional: PBE-GGA
Structure: optimized geometry

Output
E_tot = -3.149 eV per atom
Crystal system = monoclinic

Cell: 17.6251 4.8518 7.5317 Å, 90.00 113.29 90.00°
Space group C2/m (No. 12)
Asymmetric unit:
Ba  0.0000  0.0000  0.0000 [2 per cell]
Sr  0.1389  0.0000  0.6142 [4 per cell]
Hg  0.1630  0.5000  0.9845 [4 per cell]
Sb  0.0093  0.5000  0.3227 [4 per cell]
Sb  0.2136  0.0000  0.2267 [4 per cell]

8.
Compound: BaSrHgSb2
Source: OQMD via LeMat-Bulk
Functional: PBE-GGA
Structure: optimized geometry

Output
Relative energy among the computed polymorphs = 0 kJ/mol of formula units
Crystal system = orthorhombic

Cell: 4.8557 18.5710 7.8957 Å, 90.00 90.00 90.00°
Space group Cmc2_1 (No. 36)
Asymmetric unit:
Ba  0.0000  0.2025  0.0000 [4 per cell]
Sr  0.0000  0.0216  0.3222 [4 per cell]
Hg  0.0000  0.4067  0.1645 [4 per cell]
Sb  0.0000  0.1672  0.5568 [4 per cell]
Sb  0.0000  0.4349  0.5428 [4 per cell]

Question: What is the formula in the third record?
Answer: Ba2HgWS6